Entry 1:
! PBE-GGA KAg2Te, optimized geometry; values from VASP
! Raw total energy (eV per formula unit): -10.31
! N(E_F) (states/eV/f.u.): 1.22
! Energy relative to the elements, uncorrected (eV per formula unit): -0.36
! Theoretical density (Mg/m³): 5.87
&SYSTEM
  ibrav = 0, nat = 4, ntyp = 3
/
ATOMIC_SPECIES
Ag 107.87 Ag.upf
K 39.10 K.upf
Te 127.60 Te.upf
CELL_PARAMETERS angstrom
3.217 0.000 0.000
0.000 4.315 0.000
0.000 0.000 7.800
ATOMIC_POSITIONS angstrom
Ag 0.000 0.000 0.267
Ag 1.608 2.157 1.367
K 0.000 0.000 3.878
Te 1.608 2.157 6.188

=====

Entry 2:
! PBE-GGA KAg2Te, optimized geometry; values from VASP
! Raw total energy (eV per formula unit): -9.65
! N(E_F) (states/eV/f.u.): 1.23
! Energy relative to the elements, uncorrected (eV per formula unit): 0.30
! Theoretical density (Mg/m³): 6.03
&SYSTEM
  ibrav = 0, nat = 4, ntyp = 3
/
ATOMIC_SPECIES
Ag 107.87 Ag.upf
K 39.10 K.upf
Te 127.60 Te.upf
CELL_PARAMETERS angstrom
-1.151 -2.092 -2.040
-2.200 -2.515 3.821
-5.439 3.681 -0.708
ATOMIC_POSITIONS angstrom
Ag -5.352 3.623 -0.697
Ag -2.806 1.899 -0.365
K -3.035 -1.383 0.714
Te -5.754 0.457 0.360

=====

Entry 3:
! PBE-GGA K3Ag4Te4, optimized geometry; values from VASP
! Raw total energy (eV per formula unit): -32.61
! Distance to the lowest polymorph of the same formula (meV/atom): 20
! N(E_F) (states/eV/f.u.): 2.73
! Energy relative to the elements, uncorrected (eV per formula unit): -5.35
! Theoretical density (Mg/m³): 5.53
&SYSTEM
  ibrav = 0, nat = 11, ntyp = 3
/
ATOMIC_SPECIES
K 39.10 K.upf
Ag 107.87 Ag.upf
Te 127.60 Te.upf
CELL_PARAMETERS angstrom
-5.110 -0.394 -0.477
0.820 -6.967 -3.033
1.707 0.413 9.142
ATOMIC_POSITIONS angstrom
K -0.105 -0.787 1.780
K -2.477 -6.161 3.852
K 0.410 -3.484 -1.516
Ag -0.444 -0.830 5.438
Ag -2.450 -3.476 1.344
Ag -2.139 -6.118 0.194
Ag -0.133 -3.472 4.288
Te 0.216 -4.935 1.766
Te -2.798 -2.013 3.867
Te -1.909 -5.684 -2.627
Te -2.381 -1.677 -0.883

=====

Entry 4:
! PBE-GGA KAgTe5, optimized geometry; values from VASP
! Raw total energy (eV per formula unit): -20.84
! N(E_F) (states/eV/f.u.): 1.80
! Energy relative to the elements, uncorrected (eV per formula unit): -1.19
! Theoretical density (Mg/m³): 5.00
&SYSTEM
  ibrav = 0, nat = 14, ntyp = 3
/
ATOMIC_SPECIES
K 39.10 K.upf
Ag 107.87 Ag.upf
Te 127.60 Te.upf
CELL_PARAMETERS angstrom
6.924 0.674 2.373
3.102 6.227 2.373
0.689 0.475 13.044
ATOMIC_POSITIONS angstrom
K 6.047 3.055 12.156
K 4.669 4.319 5.634
Ag 0.000 0.000 0.000
Ag 0.345 0.237 6.522
Te 8.635 4.978 13.437
Te 5.935 5.534 9.319
Te 7.389 6.051 6.915
Te 4.121 5.854 12.156
Te 3.082 3.570 1.948
Te 7.634 3.805 15.841
Te 6.595 1.521 5.634
Te 3.327 1.324 10.874
Te 4.780 1.840 8.470
Te 2.081 2.397 4.352

=====

Entry 5:
! PBE-GGA KAg6Te4, optimized geometry; values from VASP
! Raw total energy (eV per formula unit): -32.35
! Distance to the lowest polymorph of the same formula (meV/atom): 13
! N(E_F) (states/eV/f.u.): 5.94
! Energy relative to the elements, uncorrected (eV per formula unit): -1.58
! Theoretical density (Mg/m³): 7.06
&SYSTEM
  ibrav = 0, nat = 11, ntyp = 3
/
ATOMIC_SPECIES
K 39.10 K.upf
Ag 107.87 Ag.upf
Te 127.60 Te.upf
CELL_PARAMETERS angstrom
-2.323 3.561 -1.317
-3.224 0.809 7.874
7.275 3.981 -2.069
ATOMIC_POSITIONS angstrom
K 0.000 0.000 0.000
Ag -1.091 0.808 4.109
Ag 2.724 5.449 2.407
Ag 1.542 2.249 3.361
Ag 0.375 2.541 6.210
Ag 4.011 5.126 -0.736
Ag 1.107 3.537 0.090
Te 0.809 4.959 4.461
Te -1.010 2.809 1.854
Te -2.457 3.172 5.390
Te 3.775 2.923 1.246

=====

Entry 6:
! PBE-GGA K2AgTe, optimized geometry; values from VASP
! Raw total energy (eV per formula unit): -9.65
! N(E_F) (states/eV/f.u.): 0.32
! Energy relative to the elements, uncorrected (eV per formula unit): -1.46
! Theoretical density (Mg/m³): 3.75
&SYSTEM
  ibrav = 0, nat = 4, ntyp = 3
/
ATOMIC_SPECIES
Ag 107.87 Ag.upf
K 39.10 K.upf
Te 127.60 Te.upf
CELL_PARAMETERS angstrom
6.823 0.024 0.029
5.988 3.270 0.029
-0.027 -0.007 6.272
ATOMIC_POSITIONS angstrom
Ag 9.472 2.436 5.532
K -0.005 -0.001 5.486
K 3.152 0.810 2.367
Te 6.529 1.679 2.380

=====

Entry 7:
! PBE-GGA KAg6Te4, optimized geometry; values from VASP
! Raw total energy (eV per formula unit): -32.50
! Distance to the lowest polymorph of the same formula (meV/atom): 0
! N(E_F) (states/eV/f.u.): 5.92
! Energy relative to the elements, uncorrected (eV per formula unit): -1.73
! Theoretical density (Mg/m³): 6.67
&SYSTEM
  ibrav = 0, nat = 11, ntyp = 3
/
ATOMIC_SPECIES
K 39.10 K.upf
Ag 107.87 Ag.upf
Te 127.60 Te.upf
CELL_PARAMETERS angstrom
-4.728 -4.700 2.952
5.759 -3.711 2.505
-0.602 7.251 1.982
ATOMIC_POSITIONS angstrom
K 5.211 -3.762 2.528
Ag 1.861 -3.175 4.063
Ag 1.310 2.275 3.258
Ag -1.154 1.704 5.559
Ag 0.267 -0.576 3.715
Ag -1.459 4.152 3.970
Ag -4.977 -1.068 3.943
Te -1.504 1.569 2.702
Te 2.284 -6.018 3.933
Te -0.978 -3.004 4.862
Te 1.802 -2.103 1.393

=====

Entry 8:
! PBE-GGA K2AgTe, optimized geometry; values from VASP
! Raw total energy (eV per formula unit): -8.91
! N(E_F) (states/eV/f.u.): 3.05
! Energy relative to the elements, uncorrected (eV per formula unit): -0.72
! Theoretical density (Mg/m³): 3.47
&SYSTEM
  ibrav = 0, nat = 4, ntyp = 3
/
ATOMIC_SPECIES
Ag 107.87 Ag.upf
K 39.10 K.upf
Te 127.60 Te.upf
CELL_PARAMETERS angstrom
-4.150 1.522 -1.395
0.640 -2.028 -4.119
-2.961 -5.855 2.422
ATOMIC_POSITIONS angstrom
Ag -3.973 -4.638 -0.942
K -2.836 -5.607 2.320
K -2.658 -2.037 -2.018
Te -1.447 -2.860 1.183

=====

Entry 9:
! PBE-GGA K3Ag4Te4, optimized geometry; values from VASP
! Raw total energy (eV per formula unit): -32.83
! Distance to the lowest polymorph of the same formula (meV/atom): 0
! N(E_F) (states/eV/f.u.): 4.37
! Energy relative to the elements, uncorrected (eV per formula unit): -5.57
! Theoretical density (Mg/m³): 5.06
&SYSTEM
  ibrav = 0, nat = 11, ntyp = 3
/
ATOMIC_SPECIES
K 39.10 K.upf
Ag 107.87 Ag.upf
Te 127.60 Te.upf
CELL_PARAMETERS angstrom
7.234 0.000 -2.558
-3.617 6.265 -2.558
0.000 0.000 7.673
ATOMIC_POSITIONS angstrom
K 1.809 3.133 -2.558
K 3.617 0.000 2.558
K -1.809 3.133 2.558
Ag -0.923 1.599 -0.653
Ag 0.000 0.000 1.958
Ag 1.846 0.000 -0.653
Ag 2.694 4.667 1.905
Te -2.259 3.912 -1.597
Te 4.517 0.000 -1.597
Te 0.000 0.000 4.791
Te 1.359 2.353 0.961

=====

Entry 10:
! PBE-GGA KAg2Te, optimized geometry; values from VASP
! Raw total energy (eV per formula unit): -10.14
! N(E_F) (states/eV/f.u.): 1.79
! Energy relative to the elements, uncorrected (eV per formula unit): -0.19
! Theoretical density (Mg/m³): 6.14
&SYSTEM
  ibrav = 0, nat = 4, ntyp = 3
/
ATOMIC_SPECIES
Ag 107.87 Ag.upf
K 39.10 K.upf
Te 127.60 Te.upf
CELL_PARAMETERS angstrom
5.596 -0.001 0.000
1.428 5.410 0.000
-3.512 -2.705 3.415
ATOMIC_POSITIONS angstrom
Ag 0.000 0.000 0.000
Ag 3.512 2.705 0.000
K 0.714 2.705 1.707
Te 2.798 0.000 1.707

=====

Entry 11:
! PBE-GGA KAg2Te, optimized geometry; values from VASP
! Raw total energy (eV per formula unit): -10.65
! N(E_F) (states/eV/f.u.): 0.57
! Energy relative to the elements, uncorrected (eV per formula unit): -0.71
! Theoretical density (Mg/m³): 4.86
&SYSTEM
  ibrav = 0, nat = 4, ntyp = 3
/
ATOMIC_SPECIES
Ag 107.87 Ag.upf
K 39.10 K.upf
Te 127.60 Te.upf
CELL_PARAMETERS angstrom
-3.754 -2.052 -4.900
-0.134 -5.408 -3.613
-4.268 -4.863 -0.675
ATOMIC_POSITIONS angstrom
Ag -0.523 -0.791 -0.590
Ag -3.554 -5.370 -4.005
K -2.039 -3.081 -2.297
Te -6.116 -9.242 -6.892

=====

Entry 12:
! PBE-GGA K2AgTe2, optimized geometry; values from VASP
! Raw total energy (eV per formula unit): -14.67
! Distance to the lowest polymorph of the same formula (meV/atom): 8
! N(E_F) (states/eV/f.u.): 0.90
! Energy relative to the elements, uncorrected (eV per formula unit): -3.34
! Theoretical density (Mg/m³): 3.96
&SYSTEM
  ibrav = 0, nat = 10, ntyp = 3
/
ATOMIC_SPECIES
K 39.10 K.upf
Ag 107.87 Ag.upf
Te 127.60 Te.upf
CELL_PARAMETERS angstrom
4.844 0.000 0.000
2.422 6.526 0.382
2.422 1.691 11.810
ATOMIC_POSITIONS angstrom
K 4.844 2.381 4.157
K 7.266 3.209 10.859
K 4.844 5.837 8.036
K 2.422 5.008 1.334
Ag 4.844 2.105 8.070
Ag 4.844 6.112 4.122
Te 2.422 3.026 7.064
Te 7.266 6.815 10.422
Te 7.266 5.192 5.128
Te 2.422 1.402 1.770